(1)
Material: CdNi2Te
Method: DFT, GGA-PBE
State: relaxed

Raw formation energy ... 452 meV/atom
Final energy ... -55.2 eV/cell
Mass density ... 8.6 Mg/m³
Calculated volume ... 17.34 A^3/atom

Unit cell a=6.5224 b=6.5224 c=6.5224 alpha=90.00 beta=90.00 gamma=90.00
Space group F-43m (No. 216)
One atom of each set of equivalent atoms:
Cd1 0.0000 0.0000 0.0000 (multiplicity 4)
Ni1 0.0000 0.0000 0.5000 (multiplicity 4)
Ni2 0.2500 0.2500 0.7500 (multiplicity 4)
Te1 0.2500 0.2500 0.2500 (multiplicity 4)

(2)
Material: LiNpPdRu
Method: DFT, GGA-PBE
State: relaxed

Final energy ... -118.9 eV/cell
Mass density ... 11.2 Mg/m³
DFT formation energy ... -0.10 eV per atom
Calculated volume ... 16.79 A^3/atom

Unit cell a=6.4524 b=6.4524 c=6.4524 alpha=90.00 beta=90.00 gamma=90.00
Space group F-43m (No. 216)
One atom of each set of equivalent atoms:
Li1 0.0000 0.0000 0.0000 (multiplicity 4)
Np1 0.0000 0.0000 0.5000 (multiplicity 4)
Pd1 0.2500 0.2500 0.2500 (multiplicity 4)
Ru1 0.2500 0.2500 0.7500 (multiplicity 4)

(3)
Material: CaSe2O
Method: DFT, GGA-PBE
State: relaxed

Raw formation energy ... -622 meV/atom
Final energy ... -49.2 eV/cell
Mass density ... 3.0 Mg/m³
Calculated volume ... 29.31 A^3/atom

Unit cell a=4.6788 b=4.6788 c=18.5533 alpha=90.00 beta=90.00 gamma=120.00
Space group R-3m (No. 166, hexagonal axes)
One atom of each set of equivalent atoms:
Ca1 0.0000 0.0000 0.0000 (multiplicity 3)
Se1 0.0000 0.0000 0.4001 (multiplicity 6)
O1 0.0000 0.0000 0.5000 (multiplicity 3)